The following is a DFT calculation (PBE+U) of NaZrCuWO6 after structural relaxation.

Results
- crystal system = cubic
- raw total energy (eV/f.u.) = -70.737

```
data_NaZrCuWO6
_cell_length_a 8.062
_cell_length_b 8.062
_cell_length_c 8.062
_cell_angle_alpha 90.00
_cell_angle_beta 90.00
_cell_angle_gamma 90.00
_space_group_name_H-M_alt 'F -4 3 m'
_space_group_IT_number 216
_space_group_name_Hall 'F -4 2 3'
loop_
_atom_site_label
_atom_site_type_symbol
_atom_site_fract_x
_atom_site_fract_y
_atom_site_fract_z
Na1 Na 0.000 0.000 0.000
Zr1 Zr 0.250 0.250 0.750
Cu1 Cu 0.000 0.000 0.500
W1 W 0.250 0.250 0.250
O1 O 0.009 0.250 0.250
```